1.
Entry from Alexandria via LeMat-Bulk: a geometry-optimized SrAsPb2 structure (PBE-GGA).

Geometry as CIF:
```
data_SrAsPb2
_chemical_formula_sum 'Sr1 As1 Pb2'
_cell_length_a 4.7615
_cell_length_b 4.1414
_cell_length_c 6.8256
_cell_angle_alpha 90.00
_cell_angle_beta 110.41
_cell_angle_gamma 90.00
_space_group_name_H-M_alt 'P 1 m 1'
_space_group_IT_number 6
_space_group_name_Hall 'P -2y'
loop_
_atom_site_label
_atom_site_type_symbol
_atom_site_fract_x
_atom_site_fract_y
_atom_site_fract_z
Sr1 Sr 0.0000 0.0000 0.0000
As1 As 0.4613 0.5000 0.9221
Pb1 Pb 0.2814 0.0000 0.5666
Pb2 Pb 0.6874 0.5000 0.3777
```

---

2.
Entry from Alexandria via LeMat-Bulk: a geometry-optimized SrAsPb2 structure (PBE-GGA).

Geometry as CIF:
```
data_SrAsPb2
_chemical_formula_sum 'Sr3 As3 Pb6'
_cell_length_a 4.1882
_cell_length_b 4.1882
_cell_length_c 26.3145
_cell_angle_alpha 90.00
_cell_angle_beta 90.00
_cell_angle_gamma 120.00
_space_group_name_H-M_alt 'R -3 m'
_space_group_IT_number 166
_space_group_name_Hall '-R 3 2"'
loop_
_atom_site_label
_atom_site_type_symbol
_atom_site_fract_x
_atom_site_fract_y
_atom_site_fract_z
Sr1 Sr 0.0000 0.0000 0.0000
As1 As 0.0000 0.0000 0.5000
Pb1 Pb 0.0000 0.0000 0.2323
```

---

3.
Entry from Alexandria via LeMat-Bulk: a geometry-optimized SrAs2Pb structure (PBE-GGA).

Geometry as CIF:
```
data_SrAs2Pb
_chemical_formula_sum 'Sr1 As2 Pb1'
_cell_length_a 5.0149
_cell_length_b 5.0149
_cell_length_c 4.1559
_cell_angle_alpha 90.00
_cell_angle_beta 90.00
_cell_angle_gamma 90.00
_space_group_name_H-M_alt 'P 4/m m m'
_space_group_IT_number 123
_space_group_name_Hall '-P 4 2'
loop_
_atom_site_label
_atom_site_type_symbol
_atom_site_fract_x
_atom_site_fract_y
_atom_site_fract_z
Sr1 Sr 0.0000 0.0000 0.0000
As1 As 0.0000 0.5000 0.5000
Pb1 Pb 0.5000 0.5000 0.0000
```

---

4.
Entry from Alexandria via LeMat-Bulk: a geometry-optimized SrAs2Pb structure (PBE-GGA).

Geometry as CIF:
```
data_SrAs2Pb
_chemical_formula_sum 'Sr1 As2 Pb1'
_cell_length_a 4.3330
_cell_length_b 4.4032
_cell_length_c 6.2089
_cell_angle_alpha 90.00
_cell_angle_beta 90.00
_cell_angle_gamma 90.00
_space_group_name_H-M_alt 'P m m 2'
_space_group_IT_number 25
_space_group_name_Hall 'P 2 -2'
loop_
_atom_site_label
_atom_site_type_symbol
_atom_site_fract_x
_atom_site_fract_y
_atom_site_fract_z
Sr1 Sr 0.0000 0.0000 0.0000
As1 As 0.0000 0.0000 0.5003
As2 As 0.5000 0.5000 0.9987
Pb1 Pb 0.5000 0.5000 0.4958
```

---

5.
Entry from Alexandria via LeMat-Bulk: a geometry-optimized SrAsPb2 structure (PBE-GGA).

Geometry as CIF:
```
data_SrAsPb2
_chemical_formula_sum 'Sr2 As2 Pb4'
_cell_length_a 6.2990
_cell_length_b 7.3507
_cell_length_c 5.5434
_cell_angle_alpha 90.00
_cell_angle_beta 90.00
_cell_angle_gamma 90.00
_space_group_name_H-M_alt 'C m m m'
_space_group_IT_number 65
_space_group_name_Hall '-C 2 2'
loop_
_atom_site_label
_atom_site_type_symbol
_atom_site_fract_x
_atom_site_fract_y
_atom_site_fract_z
Sr1 Sr 0.0000 0.0000 0.0000
As1 As 0.0000 0.5000 0.0000
Pb1 Pb 0.0000 0.2986 0.5000
```

---

6.
Entry from Alexandria via LeMat-Bulk: a geometry-optimized SrAsPb2 structure (PBE-GGA).

Geometry as CIF:
```
data_SrAsPb2
_chemical_formula_sum 'Sr4 As4 Pb8'
_cell_length_a 9.1287
_cell_length_b 9.1287
_cell_length_c 6.2852
_cell_angle_alpha 90.00
_cell_angle_beta 90.00
_cell_angle_gamma 90.00
_space_group_name_H-M_alt 'I -4 2 d'
_space_group_IT_number 122
_space_group_name_Hall 'I -4 2bw'
loop_
_atom_site_label
_atom_site_type_symbol
_atom_site_fract_x
_atom_site_fract_y
_atom_site_fract_z
Sr1 Sr 0.0000 0.0000 0.0000
As1 As 0.0000 0.0000 0.5000
Pb1 Pb 0.1913 0.2500 0.6250
```

---

7.
Entry from Alexandria via LeMat-Bulk: a geometry-optimized SrAsPb2 structure (PBE-GGA).

Geometry as CIF:
```
data_SrAsPb2
_chemical_formula_sum 'Sr1 As1 Pb2'
_cell_length_a 4.1848
_cell_length_b 4.1848
_cell_length_c 6.9002
_cell_angle_alpha 90.00
_cell_angle_beta 90.00
_cell_angle_gamma 90.00
_space_group_name_H-M_alt 'P 4 m m'
_space_group_IT_number 99
_space_group_name_Hall 'P 4 -2'
loop_
_atom_site_label
_atom_site_type_symbol
_atom_site_fract_x
_atom_site_fract_y
_atom_site_fract_z
Sr1 Sr 0.0000 0.0000 0.0000
As1 As 0.5000 0.5000 0.2545
Pb1 Pb 0.0000 0.0000 0.4627
Pb2 Pb 0.5000 0.5000 0.6925
```

---

8.
Entry from Alexandria via LeMat-Bulk: a geometry-optimized SrAsPb2 structure (PBE-GGA).

Geometry as CIF:
```
data_SrAsPb2
_chemical_formula_sum 'Sr2 As2 Pb4'
_cell_length_a 6.4146
_cell_length_b 11.9401
_cell_length_c 4.5502
_cell_angle_alpha 90.00
_cell_angle_beta 134.50
_cell_angle_gamma 90.00
_space_group_name_H-M_alt 'C 1 2/m 1'
_space_group_IT_number 12
_space_group_name_Hall '-C 2y'
loop_
_atom_site_label
_atom_site_type_symbol
_atom_site_fract_x
_atom_site_fract_y
_atom_site_fract_z
Sr1 Sr 0.0000 0.0000 0.0000
As1 As 0.0000 0.5000 0.0000
Pb1 Pb 0.2500 0.2500 0.5000
```

---

9.
Entry from Alexandria via LeMat-Bulk: a geometry-optimized SrAs2Pb structure (PBE-GGA).

Geometry as CIF:
```
data_SrAs2Pb
_chemical_formula_sum 'Sr2 As4 Pb2'
_cell_length_a 11.5193
_cell_length_b 3.8937
_cell_length_c 5.1456
_cell_angle_alpha 90.00
_cell_angle_beta 109.48
_cell_angle_gamma 90.00
_space_group_name_H-M_alt 'C 1 m 1'
_space_group_IT_number 8
_space_group_name_Hall 'C -2y'
loop_
_atom_site_label
_atom_site_type_symbol
_atom_site_fract_x
_atom_site_fract_y
_atom_site_fract_z
Sr1 Sr 0.0000 0.0000 0.0000
As1 As 0.2997 0.5000 0.3255
As2 As 0.4862 0.0000 0.4864
Pb1 Pb 0.2240 0.0000 0.6724
```

---

10.
Entry from Alexandria via LeMat-Bulk: a geometry-optimized Sr2As2Pb structure (PBE-GGA).

Geometry as CIF:
```
data_Sr2As2Pb
_chemical_formula_sum 'Sr4 As4 Pb2'
_cell_length_a 5.4520
_cell_length_b 5.4520
_cell_length_c 11.0517
_cell_angle_alpha 90.00
_cell_angle_beta 90.00
_cell_angle_gamma 90.00
_space_group_name_H-M_alt 'I 4/m m m'
_space_group_IT_number 139
_space_group_name_Hall '-I 4 2'
loop_
_atom_site_label
_atom_site_type_symbol
_atom_site_fract_x
_atom_site_fract_y
_atom_site_fract_z
Sr1 Sr 0.0000 0.5000 0.2500
As1 As 0.0000 0.0000 0.1112
Pb1 Pb 0.0000 0.0000 0.5000
```

energy above the most stable polymorph in this dataset: 321.2 meV/atom

---

11.
Entry from Alexandria via LeMat-Bulk: a geometry-optimized SrAs2Pb2 structure (PBE-GGA).

Geometry as CIF:
```
data_SrAs2Pb2
_chemical_formula_sum 'Sr2 As4 Pb4'
_cell_length_a 4.5182
_cell_length_b 4.5182
_cell_length_c 14.5452
_cell_angle_alpha 90.00
_cell_angle_beta 90.00
_cell_angle_gamma 90.00
_space_group_name_H-M_alt 'I 4/m m m'
_space_group_IT_number 139
_space_group_name_Hall '-I 4 2'
loop_
_atom_site_label
_atom_site_type_symbol
_atom_site_fract_x
_atom_site_fract_y
_atom_site_fract_z
Sr1 Sr 0.0000 0.0000 0.0000
As1 As 0.0000 0.0000 0.4150
Pb1 Pb 0.0000 0.5000 0.2500
```

---

12.
Entry from Alexandria via LeMat-Bulk: a geometry-optimized SrAs2Pb structure (PBE-GGA).

Geometry as CIF:
```
data_SrAs2Pb
_chemical_formula_sum 'Sr4 As8 Pb4'
_cell_length_a 7.5366
_cell_length_b 7.5366
_cell_length_c 7.5366
_cell_angle_alpha 90.00
_cell_angle_beta 90.00
_cell_angle_gamma 90.00
_space_group_name_H-M_alt 'F -4 3 m'
_space_group_IT_number 216
_space_group_name_Hall 'F -4 2 3'
loop_
_atom_site_label
_atom_site_type_symbol
_atom_site_fract_x
_atom_site_fract_y
_atom_site_fract_z
Sr1 Sr 0.0000 0.0000 0.0000
As1 As 0.0000 0.0000 0.5000
As2 As 0.2500 0.2500 0.7500
Pb1 Pb 0.2500 0.2500 0.2500
```

---

no.,theoretical density (Mg/m³),energy of formation (eV/atom)
1,7.59,-0.46
2,7.19,-0.09
3,7.06,-0.40
4,6.23,-0.31
5,7.47,-0.35
6,7.32,-0.32
7,7.93,-0.32
8,7.71,-0.32
9,6.79,-0.39
10,5.38,-0.42
11,7.29,-0.37
12,6.90,-0.10